First-principles (PBE-GGA) data for NdFeMo after structural relaxation, as listed in OQMD.

Output
As for the formation energy: 779 meV per atom. The crystal system is cubic. The total energy is -21.58 eV/cell.

a b c (Å): 4.426 4.426 4.426
angles (deg): 60.00 60.00 60.00
Last column: magnetic moment on the atom in μB.
Positions (direct):
Nd1 0.750 0.750 0.750  0.00
Fe1 0.000 0.000 0.000  0.07
Mo1 0.250 0.250 0.250  -0.03


First-principles (PBE-GGA) data for PaAgTe after structural relaxation, as listed in OQMD.

Output
As for the energy above the most stable polymorph in this dataset: 0 meV per atom. The crystal system is cubic. The total energy is -15.44 eV/cell.

a b c (Å): 4.992 4.992 4.992
angles (deg): 60.00 60.00 60.00
Positions (direct):
Ag1 0.250 0.250 0.250
Te1 0.750 0.750 0.750
Pa1 0.000 0.000 0.000